The following is a PBE-GGA calculation of crystalline YLu3 at its relaxed geometry, from the Alexandria database.

Output
symmetry	No. 221
relative energy among the computed polymorphs	3.76	kJ per mole of atoms
density	8.48	g cm⁻³
E	-0.365	Ry per atom
formation energy from the elements	0.038	eV/atom

Cell and atoms, written as CIF:
```
data_YLu3
_cell_length_a 4.935
_cell_length_b 4.935
_cell_length_c 4.935
_cell_angle_alpha 90.00
_cell_angle_beta 90.00
_cell_angle_gamma 90.00
_space_group_name_H-M_alt 'P 1'
_space_group_IT_number 1
loop_
_space_group_symop_operation_xyz
'x,y,z'
loop_
_atom_site_label
_atom_site_type_symbol
_atom_site_fract_x
_atom_site_fract_y
_atom_site_fract_z
_atom_site_occupancy
Y1 Y 0.000 0.000 0.000 1
Lu1 Lu 0.000 0.500 0.500 1
Lu2 Lu 0.500 0.000 0.500 1
Lu3 Lu 0.500 0.500 0.000 1
```

=====

The following is a PBE-GGA calculation of crystalline CsCdBiBr6 at its relaxed geometry, from the Alexandria database.

Output
symmetry	No. 149
density	3.99	g cm⁻³
E	-0.205	Ry per atom
uncorrected formation energy	-9.38	eV per formula unit

Cell and atoms, written as CIF:
```
data_CsCdBiBr6
_cell_length_a 7.433
_cell_length_b 7.433
_cell_length_c 8.115
_cell_angle_alpha 90.00
_cell_angle_beta 90.00
_cell_angle_gamma 120.00
_space_group_name_H-M_alt 'P 1'
_space_group_IT_number 1
loop_
_space_group_symop_operation_xyz
'x,y,z'
loop_
_atom_site_label
_atom_site_type_symbol
_atom_site_fract_x
_atom_site_fract_y
_atom_site_fract_z
_atom_site_occupancy
Cs1 Cs 0.000 0.000 0.000 1
Cd1 Cd 0.333 0.667 0.500 1
Bi1 Bi 0.667 0.333 0.500 1
Br1 Br 0.007 0.381 0.296 1
Br2 Br 0.007 0.627 0.704 1
Br3 Br 0.373 0.381 0.704 1
Br4 Br 0.373 0.993 0.296 1
Br5 Br 0.619 0.627 0.296 1
Br6 Br 0.619 0.993 0.704 1
```

=====

The following is a PBE-GGA calculation of crystalline CuSi2Rh at its relaxed geometry, from the Alexandria database.

Output
symmetry	No. 166
density	6.93	g cm⁻³
E	-0.428	Ry per atom
uncorrected formation energy	-1.02	eV per formula unit

Cell and atoms, written as CIF:
```
data_CuSi2Rh
_cell_length_a 7.881
_cell_length_b 7.881
_cell_length_c 7.881
_cell_angle_alpha 20.66
_cell_angle_beta 20.66
_cell_angle_gamma 20.66
_space_group_name_H-M_alt 'P 1'
_space_group_IT_number 1
loop_
_space_group_symop_operation_xyz
'x,y,z'
loop_
_atom_site_label
_atom_site_type_symbol
_atom_site_fract_x
_atom_site_fract_y
_atom_site_fract_z
_atom_site_occupancy
Cu1 Cu 0.000 0.000 0.000 1
Si1 Si 0.249 0.249 0.249 1
Si2 Si 0.751 0.751 0.751 1
Rh1 Rh 0.500 0.500 0.500 1
```

=====

The following is a PBE-GGA calculation of crystalline YF3 at its relaxed geometry, from the Alexandria database.

Output
symmetry	No. 221
density	4.66	g cm⁻³
E	-0.509	Ry per atom
uncorrected formation energy	-15.64	eV per formula unit

Cell and atoms, written as CIF:
```
data_YF3
_cell_length_a 5.384
_cell_length_b 5.384
_cell_length_c 5.384
_cell_angle_alpha 90.00
_cell_angle_beta 90.00
_cell_angle_gamma 90.00
_space_group_name_H-M_alt 'P 1'
_space_group_IT_number 1
loop_
_space_group_symop_operation_xyz
'x,y,z'
loop_
_atom_site_label
_atom_site_type_symbol
_atom_site_fract_x
_atom_site_fract_y
_atom_site_fract_z
_atom_site_occupancy
Y1 Y 0.000 0.000 0.500 1
Y2 Y 0.000 0.500 0.000 1
Y3 Y 0.500 0.000 0.000 1
F1 F 0.000 0.000 0.000 1
F2 F 0.257 0.257 0.257 1
F3 F 0.257 0.257 0.743 1
F4 F 0.257 0.743 0.257 1
F5 F 0.257 0.743 0.743 1
F6 F 0.743 0.257 0.257 1
F7 F 0.743 0.257 0.743 1
F8 F 0.743 0.743 0.257 1
F9 F 0.743 0.743 0.743 1
```